[1]
A plane-wave DFT calculation with GGA-PBE was carried out for a geometry-optimized HfBeN2O structure.

Cell: 4.2113 4.2113 4.0109 Å, 90.00 90.00 90.00°
Space group P4/mmm (No. 123)
Asymmetric unit:
Hf 0.0000 0.0000 0.0000 (multiplicity 1)
Be 0.5000 0.5000 0.5000 (multiplicity 1)
N 0.0000 0.5000 0.0000 (multiplicity 2)
O 0.0000 0.0000 0.5000 (multiplicity 1)

Properties
formation energy from raw total energies	0.193	eV/atom
crystal system	tetragonal


[2]
A plane-wave DFT calculation with GGA-PBE was carried out for a geometry-optimized ZrAg2Hg structure.

Cell: 9.7569 2.9799 5.5994 Å, 90.00 98.74 90.00°
Space group Cm (No. 8)
Asymmetric unit:
Zr 0.0000 0.0000 0.0000 (multiplicity 2)
Ag 0.0001 0.5000 0.5113 (multiplicity 2)
Ag 0.2472 0.0000 0.7458 (multiplicity 2)
Hg 0.2512 0.5000 0.2619 (multiplicity 2)

Properties
final energy	-28.7	eV/cell
crystal system	monoclinic


[3]
A plane-wave DFT calculation with GGA-PBE was carried out for a geometry-optimized NaPmNd structure.

Cell: 3.6390 3.6390 9.3204 Å, 90.00 90.00 120.00°
Space group P3m1 (No. 156)
Asymmetric unit:
Na 0.0000 0.0000 0.0000 (multiplicity 1)
Pm 0.6667 0.3333 0.3464 (multiplicity 1)
Nd 0.3333 0.6667 0.6516 (multiplicity 1)

Properties
excess energy over the best structure of this formula in the dataset	0.11	eV/f.u.
crystal system	trigonal


What did the first record say?
A plane-wave DFT calculation with GGA-PBE was carried out for a geometry-optimized HfBeN2O structure.

Cell: 4.2113 4.2113 4.0109 Å, 90.00 90.00 90.00°
Space group P4/mmm (No. 123)
Asymmetric unit:
Hf 0.0000 0.0000 0.0000 (multiplicity 1)
Be 0.5000 0.5000 0.5000 (multiplicity 1)
N 0.0000 0.5000 0.0000 (multiplicity 2)
O 0.0000 0.0000 0.5000 (multiplicity 1)

Properties
formation energy from raw total energies	0.193	eV/atom
crystal system	tetragonal